DFT (PBE-GGA) results for BaNd2Au after structural relaxation.

formation enthalpy at 0 K: -0.200 eV/atom
ρ: 6.633 g cm⁻³
excess energy over the best structure of this formula in the dataset: 0.257 eV per formula unit
VASP energy: -3.883 eV/atom

Cell: 4.8338 4.8338 23.1161 Å, 90.00 90.00 120.00°
Space group R3m (No. 160, hexagonal axes)
One atom of each set of equivalent atoms:
1 Ba 0.0000 0.0000 0.0000 [3 per cell]
2 Nd 0.0000 0.0000 0.5524 [3 per cell]
3 Nd 0.0000 0.0000 0.7844 [3 per cell]
4 Au 0.0000 0.0000 0.1708 [3 per cell]